Record 1
5
Lattice="5.045 0.000 0.000 0.000 4.544 0.000 0.000 0.000 5.045" Properties=species:S:1:pos:R:3 comment="In2GeOsRu, optimized geometry, DFT PBE" total_energy_ev_per_atom=-4.545 formation_energy_ev_per_atom=1.575 space_group="P4/mmm (123)" magmom_total_mub_per_fu=2.0 pbc="T T T"
In 0.000 0.000 2.522
In 2.522 0.000 0.000
Os 2.522 2.272 2.522
Ru 0.000 2.272 0.000
Ge 0.000 0.000 0.000


Record 2
5
Lattice="-4.392 0.135 1.812 -1.989 -1.855 -4.684 0.504 -4.464 1.554" Properties=species:S:1:pos:R:3 comment="InGe2SbOs, optimized geometry, DFT PBE" total_energy_ev_per_atom=-5.130 space_group="P4/mmm (123)" e_form_raw_ev_per_atom=0.335 magmom_total_mub_per_fu=0.0 pbc="T T T"
Os 0.000 0.000 0.000
Ge -2.196 0.068 0.906
Sb -2.939 -3.092 -0.659
In -0.995 -0.928 -2.342
Ge 0.252 -2.232 0.777


Record 3
5
Lattice="-4.812 -1.951 -1.052 1.702 -4.863 1.231 -1.268 0.697 4.508" Properties=species:S:1:pos:R:3 comment="TlIn2GeOs, optimized geometry, DFT PBE" total_energy_ev_per_atom=-4.574 formation_energy_ev_per_atom=0.164 space_group="P4/mmm (123)" magmom_total_mub_per_fu=0.0 pbc="T T T"
Tl -2.189 -3.058 2.344
In 0.851 -2.432 0.616
Ge -0.634 0.349 2.254
In -2.406 -0.975 -0.526
Os 0.000 0.000 0.000


Record 4
5
Lattice="5.257 0.000 0.000 0.000 4.626 0.000 0.000 0.000 5.257" Properties=species:S:1:pos:R:3 comment="Zr2InGeOs, optimized geometry, DFT PBE" total_energy_ev_per_atom=-5.403 formation_energy_ev_per_atom=1.734 space_group="P4/mmm (123)" magmom_total_mub_per_fu=0.0 pbc="T T T"
Zr 0.000 0.000 2.629
Os 2.629 2.313 2.629
Ge 0.000 2.313 0.000
Zr 2.629 0.000 0.000
In 0.000 0.000 0.000


Record 5
7
Lattice="5.301 0.000 0.000 0.000 5.301 0.000 2.650 2.650 6.877" Properties=species:S:1:pos:R:3 comment="In4Ge2P, optimized geometry, DFT PBE" total_energy_ev_per_atom=-3.358 formation_energy_ev_per_atom=0.299 space_group="I4/mmm (139)" magmom_total_mub_per_fu=0.0 pbc="T T T"
In 2.650 2.650 4.193
Ge 2.650 2.650 1.420
P 0.000 0.000 0.000
In 5.301 5.301 2.685
Ge 5.301 5.301 5.457
In 0.000 2.650 0.000
In 2.650 0.000 0.000


Record 6
80
Lattice="14.144 0.000 0.000 -4.715 13.335 0.000 -4.715 -6.668 11.549" Properties=species:S:1:pos:R:3 comment="In12Ge3P5, optimized geometry, DFT PBE" total_energy_ev_per_atom=-3.575 formation_energy_ev_per_atom=0.114 space_group="Ia-3d (230)" magmom_total_mub_per_fu=0.0 pbc="T T T"
In -1.754 -0.687 5.171
Ge -1.179 5.834 7.218
In 6.116 10.303 3.181
In 9.846 6.622 1.991
In 7.676 -0.801 2.594
In 0.604 8.156 7.765
P 1.179 -3.334 8.661
In -2.961 7.469 8.955
P 2.357 3.334 5.774
Ge 8.251 9.168 1.444
In 9.366 1.451 0.603
In 1.941 1.701 10.513
In 7.135 3.537 4.216
In 9.493 -3.130 7.333
In 8.826 0.687 5.171
Ge 10.608 0.000 2.887
In 3.314 5.731 4.739
In 5.131 -1.701 10.513
Ge 3.536 0.000 8.661
In 1.754 5.179 7.765
In 1.941 -1.747 10.593
In -4.778 9.798 4.216
In 6.116 2.095 1.558
In 5.318 5.866 8.955
In 2.294 8.754 4.819
Ge 1.179 -0.833 4.331
In -0.604 0.801 2.594
P 4.715 -3.334 5.774
In -1.401 4.572 9.990
P 0.000 0.000 0.000
In -4.111 5.981 6.377
P -2.357 -3.334 5.774
P 1.179 4.167 10.105
Ge -3.536 2.500 10.105
In 0.063 4.582 4.819
Ge -3.536 -2.500 10.105
In -0.416 4.921 0.955
In 5.671 -0.937 6.810
In 2.774 8.415 0.955
P 8.251 -0.833 7.218
Ge 5.893 0.833 4.331
P -1.179 0.833 7.218
Ge 3.536 7.501 7.218
Ge 1.179 6.668 2.887
P -1.179 10.835 1.444
In 1.401 0.937 6.810
P 3.536 10.001 2.887
In 4.111 -1.488 3.784
In 7.135 11.884 0.603
P -1.179 3.334 2.887
Ge -5.893 6.668 8.661
P 4.715 6.668 0.000
In 6.656 6.714 1.991
In -5.131 0.046 9.558
P 5.893 3.334 8.661
In -2.421 -5.216 10.946
In 2.774 4.967 1.035
In -1.941 -0.046 9.558
In 10.386 3.032 3.181
P 7.072 0.000 0.000
P -2.357 6.668 0.000
In -0.416 8.369 1.035
In 8.473 -4.573 9.990
P -4.715 3.334 5.774
In 2.421 -2.086 6.730
In -1.401 -3.636 8.368
In -5.671 3.636 8.368
In -0.957 7.604 4.739
P -3.536 7.501 4.331
In -3.758 11.240 1.558
P 3.536 2.500 1.444
In 6.468 7.355 6.377
In -4.652 5.216 10.946
P 5.893 5.834 4.331
P 5.893 -4.167 10.105
In 5.131 1.747 10.593
In -2.421 3.130 7.333
Ge 8.251 4.167 1.444
In 2.961 1.488 3.784
In 4.652 2.086 6.730


Record 7
8
Lattice="6.184 0.000 0.000 0.000 6.184 0.000 3.092 3.092 5.925" Properties=species:S:1:pos:R:3 comment="In2GeP, optimized geometry, DFT PBE" total_energy_ev_per_atom=-3.804 formation_energy_ev_per_atom=0.072 space_group="I-42d (122)" e_above_lowest_polymorph_mev_per_atom=0 magmom_total_mub_per_fu=0.0 pbc="T T T"
P 3.092 3.092 0.000
In 7.730 7.645 4.444
In 4.638 4.724 4.444
Ge 0.000 0.000 0.000
Ge 6.184 3.092 2.962
In 1.632 4.638 1.481
P 3.092 6.184 2.962
In 4.552 1.546 1.481


Record 8
4
Lattice="0.000 3.517 3.517 3.517 0.000 3.517 3.517 3.517 0.000" Properties=species:S:1:pos:R:3 comment="In2GeP, optimized geometry, DFT PBE" total_energy_ev_per_atom=-3.542 formation_energy_ev_per_atom=0.334 space_group="Fm-3m (225)" e_above_lowest_polymorph_mev_per_atom=262 magmom_total_mub_per_fu=0.0 pbc="T T T"
Ge 3.517 3.517 3.517
P 0.000 0.000 0.000
In 1.759 1.759 1.759
In 5.276 5.276 5.276


Question: What is the formula in the third record?
Answer: TlIn2GeOs